DFT (GGA-PBEsol) results for crystalline CsZr3Sn at its relaxed geometry.

Lattice parameters (Å, degrees): 5.1561 5.1561 5.1561 90.00 90.00 90.00
Closest atoms and distances in Å follow each position.
Fractional positions:
1 Cs 0.0000 0.0000 0.0000  6 Zr 2.58
2 Zr 0.0000 0.0000 0.5000  2 Cs 2.58
3 Zr 0.0000 0.5000 0.0000  2 Cs 2.58
4 Zr 0.5000 0.0000 0.0000  2 Cs 2.58
5 Sn 0.5000 0.5000 0.5000  12 Zr 3.65

Formation energy: 1685 meV/atom

---

DFT (GGA-PBEsol) results for crystalline Cs3SrZn at its relaxed geometry.

Lattice parameters (Å, degrees): 8.6750 8.6750 8.6750 90.00 90.00 90.00
Closest atoms and distances in Å follow each position.
Fractional positions:
1 Cs 0.0000 0.0000 0.5000  2 Sr 4.34
2 Cs 0.0000 0.5000 0.0000  2 Sr 4.34
3 Cs 0.5000 0.0000 0.0000  2 Sr 4.34
4 Sr 0.0000 0.0000 0.0000  6 Cs 4.34
5 Zn 0.5000 0.5000 0.5000  none within 6

Formation energy: 625 meV/atom

---

DFT (GGA-PBEsol) results for crystalline CsTaTc2 at its relaxed geometry.

Lattice parameters (Å, degrees): 6.6242 6.6242 6.6242 90.00 90.00 90.00
Closest atoms and distances in Å follow each position.
Fractional positions:
1 Cs 0.0000 0.0000 0.0000  8 Tc 2.87
2 Cs 0.0000 0.5000 0.5000  8 Tc 2.87
3 Cs 0.5000 0.0000 0.5000  8 Tc 2.87
4 Cs 0.5000 0.5000 0.0000  8 Tc 2.87
5 Ta 0.0000 0.0000 0.5000  8 Tc 2.87
6 Ta 0.0000 0.5000 0.0000  8 Tc 2.87
7 Ta 0.5000 0.0000 0.0000  8 Tc 2.87
8 Ta 0.5000 0.5000 0.5000  8 Tc 2.87
9 Tc 0.2500 0.2500 0.2500  4 Ta 2.87, 4 Cs 2.87
10 Tc 0.2500 0.2500 0.7500  4 Ta 2.87, 4 Cs 2.87
11 Tc 0.2500 0.7500 0.2500  4 Ta 2.87, 4 Cs 2.87
12 Tc 0.2500 0.7500 0.7500  4 Ta 2.87, 4 Cs 2.87
13 Tc 0.7500 0.2500 0.2500  4 Ta 2.87, 4 Cs 2.87
14 Tc 0.7500 0.2500 0.7500  4 Ta 2.87, 4 Cs 2.87
15 Tc 0.7500 0.7500 0.2500  4 Ta 2.87, 4 Cs 2.87
16 Tc 0.7500 0.7500 0.7500  4 Ta 2.87, 4 Cs 2.87

Formation energy: 1539 meV/atom

---

DFT (GGA-PBEsol) results for crystalline CsTaTe2 at its relaxed geometry.

Lattice parameters (Å, degrees): 7.5857 7.5857 7.5857 90.00 90.00 90.00
Closest atoms and distances in Å follow each position.
Fractional positions:
1 Cs 0.0000 0.0000 0.0000  8 Te 3.28
2 Cs 0.0000 0.5000 0.5000  8 Te 3.28
3 Cs 0.5000 0.0000 0.5000  8 Te 3.28
4 Cs 0.5000 0.5000 0.0000  8 Te 3.28
5 Ta 0.0000 0.0000 0.5000  8 Te 3.28
6 Ta 0.0000 0.5000 0.0000  8 Te 3.28
7 Ta 0.5000 0.0000 0.0000  8 Te 3.28
8 Ta 0.5000 0.5000 0.5000  8 Te 3.28
9 Te 0.2500 0.2500 0.2500  4 Ta 3.28, 4 Cs 3.28
10 Te 0.2500 0.2500 0.7500  4 Ta 3.28, 4 Cs 3.28
11 Te 0.2500 0.7500 0.2500  4 Ta 3.28, 4 Cs 3.28
12 Te 0.2500 0.7500 0.7500  4 Ta 3.28, 4 Cs 3.28
13 Te 0.7500 0.2500 0.2500  4 Ta 3.28, 4 Cs 3.28
14 Te 0.7500 0.2500 0.7500  4 Ta 3.28, 4 Cs 3.28
15 Te 0.7500 0.7500 0.2500  4 Ta 3.28, 4 Cs 3.28
16 Te 0.7500 0.7500 0.7500  4 Ta 3.28, 4 Cs 3.28

Formation energy without anion corrections: 0.376 eV/atom

---

DFT (GGA-PBEsol) results for crystalline CsTaTe3 at its relaxed geometry.

Lattice parameters (Å, degrees): 5.9066 5.9066 5.9066 90.00 90.00 90.00
Closest atoms and distances in Å follow each position.
Fractional positions:
1 Cs 0.0000 0.0000 0.0000  6 Te 2.95
2 Ta 0.5000 0.5000 0.5000  12 Te 4.18
3 Te 0.0000 0.0000 0.5000  2 Cs 2.95
4 Te 0.0000 0.5000 0.0000  2 Cs 2.95
5 Te 0.5000 0.0000 0.0000  2 Cs 2.95

Formation energy without anion corrections: 2.117 eV/atom

---

DFT (GGA-PBEsol) results for crystalline CsZr3Ta at its relaxed geometry.

Lattice parameters (Å, degrees): 5.2836 5.2836 5.2836 90.00 90.00 90.00
Closest atoms and distances in Å follow each position.
Fractional positions:
1 Cs 0.0000 0.0000 0.0000  12 Zr 3.74
2 Zr 0.0000 0.5000 0.5000  2 Ta 2.64
3 Zr 0.5000 0.0000 0.5000  2 Ta 2.64
4 Zr 0.5000 0.5000 0.0000  2 Ta 2.64
5 Ta 0.5000 0.5000 0.5000  6 Zr 2.64

Formation energy: 1152 meV/atom

---

DFT (GGA-PBEsol) results for crystalline Cs3Tb7Te12 at its relaxed geometry.

Lattice parameters (Å, degrees): 4.3801 13.4566 27.9446 90.00 90.00 90.00
Closest atoms and distances in Å follow each position.
Fractional positions:
1 Cs 0.0000 0.0236 0.0000  7 Te 3.82-3.88
2 Cs 0.0000 0.3016 0.6508  5 Te 3.66-3.84
3 Cs 0.0000 0.4712 0.2578  7 Te 3.69-3.93
4 Cs 0.5000 0.5288 0.7578  7 Te 3.69-3.93
5 Cs 0.5000 0.6984 0.1508  5 Te 3.66-3.84
6 Cs 0.5000 0.9764 0.5000  7 Te 3.82-3.88
7 Tb 0.0000 0.1674 0.3383  6 Te 3.01-3.13
8 Tb 0.0000 0.2550 0.1261  6 Te 3.02-3.10
9 Tb 0.0000 0.3319 0.9131  6 Te 3.01-3.14
10 Tb 0.0000 0.5356 0.5388  6 Te 3.04-3.17
11 Tb 0.0000 0.6639 0.9423  6 Te 3.00-3.17
12 Tb 0.0000 0.8397 0.3091  6 Te 3.01-3.14
13 Tb 0.0000 0.9578 0.7113  6 Te 3.00-3.20
14 Tb 0.5000 0.0422 0.2113  6 Te 3.00-3.20
15 Tb 0.5000 0.1603 0.8091  6 Te 3.01-3.14
16 Tb 0.5000 0.3361 0.4423  6 Te 3.00-3.17
17 Tb 0.5000 0.4644 0.0388  6 Te 3.04-3.17
18 Tb 0.5000 0.6681 0.4131  6 Te 3.01-3.14
19 Tb 0.5000 0.7450 0.6261  6 Te 3.02-3.10
20 Tb 0.5000 0.8326 0.8383  6 Te 3.01-3.13
21 Te 0.0000 0.1816 0.4469  3 Tb 3.02-3.04
22 Te 0.0000 0.1962 0.2304  4 Tb 3.02-3.06
23 Te 0.0000 0.3089 0.0212  4 Tb 3.02-3.07
24 Te 0.0000 0.3164 0.8028  3 Tb 3.04-3.09
25 Te 0.0000 0.5032 0.4263  5 Tb 3.14-3.17
26 Te 0.0000 0.5870 0.6447  3 Tb 3.04-3.10
27 Te 0.0000 0.6214 0.0481  3 Tb 3.01-3.05
28 Te 0.0000 0.6797 0.8351  3 Tb 3.00-3.01
29 Te 0.0000 0.8215 0.4166  3 Tb 3.01
30 Te 0.0000 0.8868 0.2032  3 Tb 3.03-3.04
31 Te 0.0000 0.8995 0.6076  3 Tb 3.00-3.06
32 Te 0.0000 0.9957 0.8242  5 Tb 3.13-3.20
33 Te 0.5000 0.0043 0.3242  5 Tb 3.13-3.20
34 Te 0.5000 0.1005 0.1076  3 Tb 3.00-3.06
35 Te 0.5000 0.1132 0.7032  3 Tb 3.03-3.04
36 Te 0.5000 0.1785 0.9166  3 Tb 3.01
37 Te 0.5000 0.3203 0.3351  3 Tb 3.00-3.01
38 Te 0.5000 0.3786 0.5481  3 Tb 3.01-3.05
39 Te 0.5000 0.4130 0.1447  3 Tb 3.04-3.10
40 Te 0.5000 0.4968 0.9263  5 Tb 3.14-3.17
41 Te 0.5000 0.6836 0.3028  3 Tb 3.04-3.09
42 Te 0.5000 0.6911 0.5212  4 Tb 3.02-3.07
43 Te 0.5000 0.8038 0.7304  4 Tb 3.02-3.06
44 Te 0.5000 0.8184 0.9469  3 Tb 3.02-3.04

Formation energy without anion corrections: -1.393 eV/atom

---

DFT (GGA-PBEsol) results for crystalline Cs2TcTe at its relaxed geometry.

Lattice parameters (Å, degrees): 8.6782 8.6782 8.6782 90.00 90.00 90.00
Closest atoms and distances in Å follow each position.
Fractional positions:
1 Cs 0.2500 0.2500 0.2500  4 Tc 3.76, 4 Te 3.76
2 Cs 0.2500 0.2500 0.7500  4 Tc 3.76, 4 Te 3.76
3 Cs 0.2500 0.7500 0.2500  4 Tc 3.76, 4 Te 3.76
4 Cs 0.2500 0.7500 0.7500  4 Tc 3.76, 4 Te 3.76
5 Cs 0.7500 0.2500 0.2500  4 Tc 3.76, 4 Te 3.76
6 Cs 0.7500 0.2500 0.7500  4 Tc 3.76, 4 Te 3.76
7 Cs 0.7500 0.7500 0.2500  4 Tc 3.76, 4 Te 3.76
8 Cs 0.7500 0.7500 0.7500  4 Tc 3.76, 4 Te 3.76
9 Tc 0.0000 0.0000 0.0000  8 Cs 3.76
10 Tc 0.0000 0.5000 0.5000  8 Cs 3.76
11 Tc 0.5000 0.0000 0.5000  8 Cs 3.76
12 Tc 0.5000 0.5000 0.0000  8 Cs 3.76
13 Te 0.0000 0.0000 0.5000  8 Cs 3.76
14 Te 0.0000 0.5000 0.0000  8 Cs 3.76
15 Te 0.5000 0.0000 0.0000  8 Cs 3.76
16 Te 0.5000 0.5000 0.5000  8 Cs 3.76

Formation energy without anion corrections: 0.938 eV/atom

---

DFT (GGA-PBEsol) results for crystalline CsTiTc3 at its relaxed geometry.

Lattice parameters (Å, degrees): 4.7418 4.7418 4.7418 90.00 90.00 90.00
Closest atoms and distances in Å follow each position.
Fractional positions:
1 Cs 0.0000 0.0000 0.0000  12 Tc 3.35
2 Ti 0.5000 0.5000 0.5000  6 Tc 2.37
3 Tc 0.0000 0.5000 0.5000  2 Ti 2.37
4 Tc 0.5000 0.0000 0.5000  2 Ti 2.37
5 Tc 0.5000 0.5000 0.0000  2 Ti 2.37

Formation energy: 1888 meV/atom

---

DFT (GGA-PBEsol) results for crystalline Cs3ZrTc at its relaxed geometry.

Lattice parameters (Å, degrees): 6.7497 6.7497 6.7497 90.00 90.00 90.00
Closest atoms and distances in Å follow each position.
Fractional positions:
1 Cs 0.0000 0.0000 0.5000  2 Zr 3.37
2 Cs 0.0000 0.5000 0.0000  2 Zr 3.37
3 Cs 0.5000 0.0000 0.0000  2 Zr 3.37
4 Zr 0.0000 0.0000 0.0000  6 Cs 3.37
5 Tc 0.5000 0.5000 0.5000  12 Cs 4.77

Formation energy: 2191 meV/atom

---

DFT (GGA-PBEsol) results for crystalline CsZrTc3 at its relaxed geometry.

Lattice parameters (Å, degrees): 4.7545 4.7545 4.7545 90.00 90.00 90.00
Closest atoms and distances in Å follow each position.
Fractional positions:
1 Cs 0.0000 0.0000 0.0000  6 Tc 2.38
2 Zr 0.5000 0.5000 0.5000  12 Tc 3.36
3 Tc 0.0000 0.0000 0.5000  2 Cs 2.38
4 Tc 0.0000 0.5000 0.0000  2 Cs 2.38
5 Tc 0.5000 0.0000 0.0000  2 Cs 2.38

Formation energy: 2739 meV/atom

---

DFT (GGA-PBEsol) results for crystalline Cs2Te3 at its relaxed geometry.

Lattice parameters (Å, degrees): 7.3818 7.3818 8.3615 90.00 90.00 111.27
Closest atoms and distances in Å follow each position.
Fractional positions:
1 Cs 0.0827 0.9173 0.5000  7 Te 3.76-3.89
2 Cs 0.4156 0.5844 0.7160  8 Te 3.77-3.98
3 Cs 0.5844 0.4156 0.2160  8 Te 3.77-3.98
4 Cs 0.9173 0.0827 0.0000  7 Te 3.76-3.89
5 Te 0.0692 0.4140 0.3571  1 Te 2.85
6 Te 0.2763 0.7237 0.1468  2 Te 2.85
7 Te 0.4140 0.0692 0.8571  1 Te 2.85
8 Te 0.5860 0.9308 0.3571  1 Te 2.85
9 Te 0.7237 0.2763 0.6468  2 Te 2.85
10 Te 0.9308 0.5860 0.8571  1 Te 2.85

Formation energy without anion corrections: -0.745 eV/atom

---

Q: What is the formula in the second record?
A: Cs3SrZn